1.
VASP calculation (PBE) on crystalline Li5GaSi at its relaxed geometry.

```
data_Li5GaSi
_cell_length_a 5.087
_cell_length_b 5.087
_cell_length_c 9.255
_cell_angle_alpha 105.26
_cell_angle_beta 105.26
_cell_angle_gamma 97.14
_space_group_name_H-M_alt 'P 1'
_space_group_IT_number 1
_space_group_name_Hall 'P 1'
loop_
_atom_site_label
_atom_site_type_symbol
_atom_site_fract_x
_atom_site_fract_y
_atom_site_fract_z
Li1 Li 0.976 0.604 0.162
Li2 Li 0.238 0.525 0.467
Li3 Li 0.762 0.475 0.533
Li4 Li 0.396 0.024 0.338
Li5 Li 0.525 0.238 0.967
Li6 Li 0.604 0.976 0.662
Li7 Li 0.837 0.163 0.250
Li8 Li 0.163 0.837 0.750
Li9 Li 0.475 0.762 0.033
Li10 Li 0.024 0.396 0.838
Ga1 Ga 0.000 0.000 0.000
Ga2 Ga 0.000 0.000 0.500
Si1 Si 0.505 0.495 0.750
Si2 Si 0.495 0.505 0.250
```

## Properties
Formation energy from raw total energies (meV/atom): -141
Electronic total energy (eV for the cell shown): -38.01
DOS(E_F) (states/eV/cell): 4.43
Space-group type: C2/c

---

2.
VASP calculation (PBE) on crystalline Li2MgAl5 at its relaxed geometry.

```
data_Li2MgAl5
_cell_length_a 5.822
_cell_length_b 5.822
_cell_length_c 5.822
_cell_angle_alpha 87.70
_cell_angle_beta 121.34
_cell_angle_gamma 121.34
_space_group_name_H-M_alt 'P 1'
_space_group_IT_number 1
_space_group_name_Hall 'P 1'
loop_
_atom_site_label
_atom_site_type_symbol
_atom_site_fract_x
_atom_site_fract_y
_atom_site_fract_z
Al1 Al 0.000 0.222 0.722
Al2 Al 0.500 0.722 0.722
Al3 Al 0.500 0.222 0.222
Al4 Al 0.000 0.722 0.222
Al5 Al 0.000 0.722 0.722
Mg1 Mg 0.000 0.222 0.222
Li1 Li 0.500 0.722 0.222
Li2 Li 0.500 0.222 0.722
```

## Properties
Electronic total energy (eV for the cell shown): -24.72
DOS(E_F) (states/eV/cell): 2.82
Formation enthalpy at 0 K (kJ/mol of formula units): -56
Space-group type: I4/mmm

---

3.
VASP calculation (PBE) on crystalline DyY4Se6 at its relaxed geometry.

```
data_DyY4Se6
_cell_length_a 3.991
_cell_length_b 7.000
_cell_length_c 20.766
_cell_angle_alpha 90.00
_cell_angle_beta 90.00
_cell_angle_gamma 106.56
_space_group_name_H-M_alt 'P 1'
_space_group_IT_number 1
_space_group_name_Hall 'P 1'
loop_
_atom_site_label
_atom_site_type_symbol
_atom_site_fract_x
_atom_site_fract_y
_atom_site_fract_z
Se1 Se 0.946 0.893 0.833
Se2 Se 0.054 0.107 0.333
Se3 Se 0.500 0.000 0.000
Se4 Se 0.231 0.461 0.591
Se5 Se 0.054 0.107 0.167
Se6 Se 0.308 0.616 0.250
Se7 Se 0.500 0.000 0.500
Se8 Se 0.769 0.539 0.091
Se9 Se 0.692 0.384 0.750
Se10 Se 0.769 0.539 0.409
Se11 Se 0.231 0.461 0.909
Se12 Se 0.946 0.893 0.667
Y1 Y 0.141 0.282 0.462
Y2 Y 0.411 0.821 0.127
Y3 Y 0.859 0.718 0.538
Y4 Y 0.589 0.179 0.873
Y5 Y 0.411 0.821 0.373
Y6 Y 0.859 0.718 0.962
Y7 Y 0.141 0.282 0.038
Y8 Y 0.589 0.179 0.627
Dy1 Dy 0.652 0.305 0.250
Dy2 Dy 0.348 0.695 0.750
```

## Properties
Formation energy from raw total energies (meV/atom): -1829
Electronic total energy (eV for the cell shown): -142.96
DOS(E_F) (states/eV/cell): 6.15
Space-group type: Cmcm

---

4.
VASP calculation (PBE) on crystalline ReSiTc3 at its relaxed geometry.

```
data_ReSiTc3
_cell_length_a 4.316
_cell_length_b 4.316
_cell_length_c 4.316
_cell_angle_alpha 90.00
_cell_angle_beta 90.00
_cell_angle_gamma 90.00
_space_group_name_H-M_alt 'P 1'
_space_group_IT_number 1
_space_group_name_Hall 'P 1'
loop_
_atom_site_label
_atom_site_type_symbol
_atom_site_fract_x
_atom_site_fract_y
_atom_site_fract_z
Tc1 Tc 0.500 0.000 0.000
Tc2 Tc 0.000 0.000 0.500
Tc3 Tc 0.000 0.500 0.000
Re1 Re 0.500 0.500 0.500
Si1 Si 0.000 0.000 0.000
```

## Properties
Formation energy from raw total energies (meV/atom): 999
Electronic total energy (eV for the cell shown): -43.97
DOS(E_F) (states/eV/cell): 5.51
Relative energy among the computed polymorphs (meV per atom): 1057
Space-group type: Pm-3m

---

5.
VASP calculation (PBE) on crystalline KCd2In3 at its relaxed geometry.

```
data_KCd2In3
_cell_length_a 5.926
_cell_length_b 7.916
_cell_length_c 7.916
_cell_angle_alpha 100.73
_cell_angle_beta 90.00
_cell_angle_gamma 90.00
_space_group_name_H-M_alt 'P 1'
_space_group_IT_number 1
_space_group_name_Hall 'P 1'
loop_
_atom_site_label
_atom_site_type_symbol
_atom_site_fract_x
_atom_site_fract_y
_atom_site_fract_z
Cd1 Cd 0.000 0.762 0.238
Cd2 Cd 0.500 0.762 0.238
Cd3 Cd 0.500 0.238 0.762
Cd4 Cd 0.000 0.238 0.762
In1 In 0.250 0.946 0.946
In2 In 0.250 0.558 0.919
In3 In 0.750 0.054 0.054
In4 In 0.750 0.081 0.442
In5 In 0.250 0.919 0.558
In6 In 0.750 0.442 0.081
K1 K 0.250 0.321 0.321
K2 K 0.750 0.679 0.679
```

## Properties
Electronic total energy (eV for the cell shown): -22.97
DOS(E_F) (states/eV/cell): 3.39
Relative energy among the computed polymorphs (meV per atom): 0
Formation enthalpy at 0 K (kJ/mol of formula units): -33
Space-group type: Cmcm

---

6.
VASP calculation (PBE) on crystalline TlHgPb2Br8 at its relaxed geometry.

```
data_TlHgPb2Br8
_cell_length_a 7.368
_cell_length_b 6.877
_cell_length_c 8.884
_cell_angle_alpha 93.35
_cell_angle_beta 87.33
_cell_angle_gamma 89.44
_space_group_name_H-M_alt 'P 1'
_space_group_IT_number 1
_space_group_name_Hall 'P 1'
loop_
_atom_site_label
_atom_site_type_symbol
_atom_site_fract_x
_atom_site_fract_y
_atom_site_fract_z
Br1 Br 0.345 0.253 0.993
Br2 Br 0.164 0.743 0.246
Br3 Br 0.669 0.742 0.503
Br4 Br 0.139 0.782 0.776
Br5 Br 0.861 0.218 0.224
Br6 Br 0.655 0.747 0.007
Br7 Br 0.836 0.257 0.754
Br8 Br 0.331 0.258 0.497
Hg1 Hg 0.000 0.000 0.000
Pb1 Pb 0.492 0.502 0.245
Pb2 Pb 0.508 0.498 0.755
Tl1 Tl 0.000 0.000 0.500
```

## Properties
Formation energy from raw total energies (meV/atom): -661
Electronic total energy (eV for the cell shown): -31.40
DOS(E_F) (states/eV/cell): 4.94
Space-group type: P-1